Model A:
Material: La2AsSe
Method: DFT, GGA-PBEsol
State: optimized geometry

Cell lengths 4.2394, 4.2394, 11.7429 Å; angles 90.00, 90.00, 90.00 degrees
With the nearest neighbours (Å) after each atom.
Space group I-4m2 (No. 119)
One atom of each set of equivalent atoms:
La1 0.0000 0.0000 0.0000 [2 per cell]  4 Se 3.00
La2 0.0000 0.5000 0.2500 [2 per cell]  4 As 3.00
As1 0.0000 0.5000 0.7500 [2 per cell]  4 La 3.00
Se1 0.0000 0.0000 0.5000 [2 per cell]  4 La 3.00

* DOS at the Fermi energy: 0.83 states/eV per atom
* volume: 211.0 Å³ per cell
* total magnetic moment: 0.0003 μB per atom

=====

Model B:
Material: La2AsSe
Method: DFT, GGA-PBEsol
State: optimized geometry

Cell lengths 4.2876, 4.2876, 6.0489 Å; angles 90.00, 90.00, 90.00 degrees
With the nearest neighbours (Å) after each atom.
Space group P4/mmm (No. 123)
One atom of each set of equivalent atoms:
La1 0.0000 0.0000 0.0000 [1 per cell]  2 As 3.02, 4 Se 3.03
La2 0.5000 0.5000 0.5000 [1 per cell]  2 Se 3.02, 4 As 3.03
As1 0.0000 0.0000 0.5000 [1 per cell]  6 La 3.02-3.03
Se1 0.5000 0.5000 0.0000 [1 per cell]  6 La 3.02-3.03

* DOS at the Fermi energy: 0.40 states/eV per atom
* volume: 111.2 Å³ per cell
* total magnetic moment: 0.0000 μB per atom

=====

Stability check: which of them is most stable? model B.